No. 1
Density functional theory data (PBE-GGA) for crystalline La4PrSm2Mg at its relaxed geometry. Values from VASP.

Summary:
Electronic total energy, eV per atom: -4.392

The structure in Quantum ESPRESSO input format:
```
&SYSTEM
  ibrav = 0, nat = 8, ntyp = 4
/
ATOMIC_SPECIES
Pr 140.91 Pr.upf
La 138.91 La.upf
Sm 150.36 Sm.upf
Mg 24.30 Mg.upf
ATOMIC_POSITIONS crystal
Pr 0.0000 0.5000 0.5000
La 0.5000 0.7677 0.2319
La 0.5000 0.2323 0.7681
La 0.0000 0.2692 0.2305
La 0.0000 0.7308 0.7695
Sm 0.5000 0.0000 0.5000
Sm 0.0000 0.0000 0.0000
Mg 0.5000 0.5000 0.0000
CELL_PARAMETERS angstrom
-3.0550 5.0622 0.6804
-4.7172 -3.1014 1.8945
-2.1284 -2.5312 9.2757
```


No. 2
Density functional theory data (PBE-GGA) for crystalline Pa2Re3Si4 at its relaxed geometry. Values from VASP.

Summary:
Energy relative to the elements, uncorrected, eV per atom: -0.325
Polymorph energy (0 for the lowest one), eV/atom: 0.144

The structure in Quantum ESPRESSO input format:
```
&SYSTEM
  ibrav = 0, nat = 9, ntyp = 3
/
ATOMIC_SPECIES
Pa 231.04 Pa.upf
Si 28.09 Si.upf
Re 186.21 Re.upf
ATOMIC_POSITIONS crystal
Pa 0.3650 0.3650 0.7299
Pa 0.6350 0.6350 0.2701
Si 0.3383 0.9949 0.3332
Si 0.6617 0.0051 0.6668
Si 0.9949 0.3383 0.3332
Si 0.0051 0.6617 0.6668
Re 0.0000 0.5000 0.0000
Re 0.0000 0.0000 0.0000
Re 0.5000 0.0000 0.0000
CELL_PARAMETERS angstrom
-5.1606 -0.8090 -1.6893
3.9016 -3.8257 -0.5300
-0.8333 0.0564 6.6612
```